# 1
# KMn2TlPt, relaxed, DFT PBE
data_KMn2TlPt
_chemical_formula_sum 'K1 Mn2 Tl1 Pt1'
_symmetry_space_group_name_H-M 'P 1'
_symmetry_Int_Tables_number 1
_symmetry_space_group_name_Hall 'P 1'
_cell_length_a 5.120
_cell_length_b 5.285
_cell_length_c 5.120
_cell_angle_alpha 90.00
_cell_angle_beta 90.00
_cell_angle_gamma 90.00
loop_
_atom_site_label
_atom_site_fract_x
_atom_site_fract_y
_atom_site_fract_z
_atom_site_occupancy
Mn1 0.500 0.000 0.000 1
Mn2 0.000 0.000 0.500 1
Pt1 0.000 0.000 0.000 1
K1 0.500 0.500 0.500 1
Tl1 0.000 0.500 0.000 1
# E_form in kJ/mol of atoms: 35.1
# DOS at the Fermi energy in states/eV per cell: 4.77
# Total magnetic moment in μB per formula unit: 9.27

***

# 2
# KPuMnS3, relaxed, DFT PBE
data_KPuMnS3
_chemical_formula_sum 'K2 Pu2 Mn2 S6'
_symmetry_space_group_name_H-M 'P 1'
_symmetry_Int_Tables_number 1
_symmetry_space_group_name_Hall 'P 1'
_cell_length_a 4.071
_cell_length_b 8.747
_cell_length_c 9.365
_cell_angle_alpha 106.34
_cell_angle_beta 90.00
_cell_angle_gamma 90.00
loop_
_atom_site_label
_atom_site_fract_x
_atom_site_fract_y
_atom_site_fract_z
_atom_site_occupancy
K1 0.250 0.201 0.230 1
K2 0.750 0.799 0.770 1
S1 0.250 0.803 0.466 1
S2 0.250 0.539 0.851 1
S3 0.250 0.120 0.863 1
S4 0.750 0.197 0.534 1
S5 0.750 0.461 0.149 1
S6 0.750 0.880 0.137 1
Mn1 0.250 0.088 0.607 1
Mn2 0.750 0.912 0.393 1
Pu1 0.250 0.671 0.152 1
Pu2 0.750 0.329 0.848 1
# Energy relative to the elements, uncorrected in eV per formula unit: -7.425
# DOS at the Fermi energy in states/eV per cell: 18.32
# Total magnetic moment in μB per formula unit: 0.02

***

# 3
# K3Pu2MnS6, relaxed, DFT PBE
data_K3Pu2MnS6
_chemical_formula_sum 'K3 Pu2 Mn1 S6'
_symmetry_space_group_name_H-M 'P 1'
_symmetry_Int_Tables_number 1
_symmetry_space_group_name_Hall 'P 1'
_cell_length_a 6.921
_cell_length_b 6.921
_cell_length_c 7.679
_cell_angle_alpha 98.63
_cell_angle_beta 98.63
_cell_angle_gamma 119.99
loop_
_atom_site_label
_atom_site_fract_x
_atom_site_fract_y
_atom_site_fract_z
_atom_site_occupancy
Pu1 0.667 0.333 0.000 1
Pu2 0.333 0.667 0.000 1
S1 0.735 0.735 0.197 1
S2 0.066 0.396 0.197 1
S3 0.396 0.066 0.197 1
S4 0.265 0.265 0.803 1
S5 0.934 0.604 0.803 1
S6 0.604 0.934 0.803 1
K1 0.835 0.165 0.500 1
K2 0.165 0.835 0.500 1
K3 0.500 0.500 0.500 1
Mn1 0.000 0.000 0.000 1
# Energy relative to the elements, uncorrected in eV per formula unit: -15.838
# DOS at the Fermi energy in states/eV per cell: 17.71
# Total magnetic moment in μB per formula unit: 4.00

***

# 4
# KPu2MnS4, relaxed, DFT PBE
data_KPu2MnS4
_chemical_formula_sum 'K2 Pu4 Mn2 S8'
_symmetry_space_group_name_H-M 'P 1'
_symmetry_Int_Tables_number 1
_symmetry_space_group_name_Hall 'P 1'
_cell_length_a 4.037
_cell_length_b 7.171
_cell_length_c 13.930
_cell_angle_alpha 90.00
_cell_angle_beta 90.00
_cell_angle_gamma 106.35
loop_
_atom_site_label
_atom_site_fract_x
_atom_site_fract_y
_atom_site_fract_z
_atom_site_occupancy
Mn1 0.167 0.335 0.250 1
Mn2 0.833 0.665 0.750 1
S1 0.260 0.520 0.389 1
S2 0.000 0.000 0.000 1
S3 0.740 0.480 0.611 1
S4 0.424 0.848 0.750 1
S5 0.740 0.480 0.889 1
S6 0.000 0.000 0.500 1
S7 0.260 0.520 0.111 1
S8 0.576 0.152 0.250 1
Pu1 0.632 0.263 0.445 1
Pu2 0.632 0.263 0.055 1
Pu3 0.368 0.737 0.945 1
Pu4 0.368 0.737 0.555 1
K1 0.896 0.792 0.250 1
K2 0.104 0.208 0.750 1
# Energy relative to the elements, uncorrected in eV per formula unit: -10.926
# DOS at the Fermi energy in states/eV per cell: 37.04
# Total magnetic moment in μB per formula unit: 14.88

***

# 5
# K3PuMn2S6, relaxed, DFT PBE
data_K3PuMn2S6
_chemical_formula_sum 'K3 Pu1 Mn2 S6'
_symmetry_space_group_name_H-M 'P 1'
_symmetry_Int_Tables_number 1
_symmetry_space_group_name_Hall 'P 1'
_cell_length_a 6.555
_cell_length_b 6.555
_cell_length_c 7.713
_cell_angle_alpha 99.96
_cell_angle_beta 99.96
_cell_angle_gamma 115.74
loop_
_atom_site_label
_atom_site_fract_x
_atom_site_fract_y
_atom_site_fract_z
_atom_site_occupancy
K1 0.162 0.838 0.500 1
K2 0.838 0.162 0.500 1
K3 0.500 0.500 0.500 1
S1 0.300 0.300 0.824 1
S2 0.700 0.700 0.176 1
S3 0.605 0.969 0.802 1
S4 0.395 0.031 0.198 1
S5 0.969 0.605 0.802 1
S6 0.031 0.395 0.198 1
Mn1 0.332 0.668 0.000 1
Mn2 0.668 0.332 0.000 1
Pu1 0.000 0.000 0.000 1
# Energy relative to the elements, uncorrected in eV per formula unit: -12.363
# DOS at the Fermi energy in states/eV per cell: 13.81
# Total magnetic moment in μB per formula unit: 3.87

***

# 6
# K3Pu3MnSe8, relaxed, DFT PBE
data_K3Pu3MnSe8
_chemical_formula_sum 'K3 Pu3 Mn1 Se8'
_symmetry_space_group_name_H-M 'P 1'
_symmetry_Int_Tables_number 1
_symmetry_space_group_name_Hall 'P 1'
_cell_length_a 8.344
_cell_length_b 8.252
_cell_length_c 9.118
_cell_angle_alpha 116.90
_cell_angle_beta 90.33
_cell_angle_gamma 119.64
loop_
_atom_site_label
_atom_site_fract_x
_atom_site_fract_y
_atom_site_fract_z
_atom_site_occupancy
Mn1 0.000 0.000 0.500 1
Pu1 0.500 0.000 0.500 1
Pu2 0.500 0.500 0.500 1
Pu3 0.000 0.500 0.500 1
K1 0.000 0.000 0.000 1
K2 0.000 0.500 0.000 1
K3 0.500 0.500 0.000 1
Se1 0.213 0.974 0.685 1
Se2 0.271 0.036 0.301 1
Se3 0.213 0.425 0.685 1
Se4 0.265 0.528 0.292 1
Se5 0.735 0.472 0.708 1
Se6 0.787 0.575 0.315 1
Se7 0.787 0.026 0.315 1
Se8 0.729 0.964 0.699 1
# Energy relative to the elements, uncorrected in eV per formula unit: -18.177
# DOS at the Fermi energy in states/eV per cell: 31.68
# Total magnetic moment in μB per formula unit: 8.52

***

# 7
# K3PuMn2Se6, relaxed, DFT PBE
data_K3PuMn2Se6
_chemical_formula_sum 'K3 Pu1 Mn2 Se6'
_symmetry_space_group_name_H-M 'P 1'
_symmetry_Int_Tables_number 1
_symmetry_space_group_name_Hall 'P 1'
_cell_length_a 6.931
_cell_length_b 6.931
_cell_length_c 10.395
_cell_angle_alpha 109.47
_cell_angle_beta 109.47
_cell_angle_gamma 119.99
loop_
_atom_site_label
_atom_site_fract_x
_atom_site_fract_y
_atom_site_fract_z
_atom_site_occupancy
Mn1 0.333 0.667 0.000 1
Mn2 0.667 0.333 0.000 1
Se1 0.543 0.543 0.190 1
Se2 0.836 0.190 0.190 1
Se3 0.164 0.810 0.810 1
Se4 0.457 0.457 0.810 1
Se5 0.810 0.164 0.810 1
Se6 0.190 0.836 0.190 1
Pu1 0.000 0.000 0.000 1
K1 0.833 0.167 0.500 1
K2 0.167 0.833 0.500 1
K3 0.500 0.500 0.500 1
# Energy relative to the elements, uncorrected in eV per formula unit: -11.392
# DOS at the Fermi energy in states/eV per cell: 9.08
# Total magnetic moment in μB per formula unit: 13.00

***

# 8
# K2Pu2MnSe6, relaxed, DFT PBE
data_K2Pu2MnSe6
_chemical_formula_sum 'K2 Pu2 Mn1 Se6'
_symmetry_space_group_name_H-M 'P 1'
_symmetry_Int_Tables_number 1
_symmetry_space_group_name_Hall 'P 1'
_cell_length_a 7.021
_cell_length_b 7.021
_cell_length_c 8.174
_cell_angle_alpha 98.38
_cell_angle_beta 98.38
_cell_angle_gamma 119.75
loop_
_atom_site_label
_atom_site_fract_x
_atom_site_fract_y
_atom_site_fract_z
_atom_site_occupancy
Se1 0.248 0.248 0.309 1
Se2 0.933 0.616 0.306 1
Se3 0.384 0.067 0.694 1
Se4 0.752 0.752 0.691 1
Se5 0.616 0.933 0.306 1
Se6 0.067 0.384 0.694 1
Pu1 0.667 0.333 0.500 1
Pu2 0.333 0.667 0.500 1
K1 0.169 0.831 0.000 1
K2 0.831 0.169 0.000 1
Mn1 0.000 0.000 0.500 1
# Energy relative to the elements, uncorrected in eV per formula unit: -12.802
# DOS at the Fermi energy in states/eV per cell: 14.33
# Total magnetic moment in μB per formula unit: 13.00

***

# 9
# KPuMnSe3, relaxed, DFT PBE
data_KPuMnSe3
_chemical_formula_sum 'K2 Pu2 Mn2 Se6'
_symmetry_space_group_name_H-M 'P 1'
_symmetry_Int_Tables_number 1
_symmetry_space_group_name_Hall 'P 1'
_cell_length_a 3.687
_cell_length_b 9.554
_cell_length_c 10.604
_cell_angle_alpha 109.06
_cell_angle_beta 90.00
_cell_angle_gamma 90.00
loop_
_atom_site_label
_atom_site_fract_x
_atom_site_fract_y
_atom_site_fract_z
_atom_site_occupancy
Se1 0.750 0.694 0.493 1
Se2 0.750 0.976 0.808 1
Se3 0.250 0.024 0.192 1
Se4 0.250 0.609 0.179 1
Se5 0.250 0.306 0.507 1
Se6 0.750 0.391 0.821 1
Pu1 0.750 0.992 0.571 1
Pu2 0.250 0.008 0.429 1
Mn1 0.250 0.761 0.389 1
Mn2 0.750 0.239 0.611 1
K1 0.750 0.751 0.988 1
K2 0.250 0.249 0.012 1
# Energy relative to the elements, uncorrected in eV per formula unit: -2.449
# DOS at the Fermi energy in states/eV per cell: 6.46
# Total magnetic moment in μB per formula unit: 0.72

***

# 10
# K3Pu3MnTe8, relaxed, DFT PBE
data_K3Pu3MnTe8
_chemical_formula_sum 'K3 Pu3 Mn1 Te8'
_symmetry_space_group_name_H-M 'P 1'
_symmetry_Int_Tables_number 1
_symmetry_space_group_name_Hall 'P 1'
_cell_length_a 8.854
_cell_length_b 8.874
_cell_length_c 9.816
_cell_angle_alpha 116.82
_cell_angle_beta 90.00
_cell_angle_gamma 119.93
loop_
_atom_site_label
_atom_site_fract_x
_atom_site_fract_y
_atom_site_fract_z
_atom_site_occupancy
Mn1 0.000 0.000 0.500 1
Te1 0.216 0.432 0.691 1
Te2 0.758 0.977 0.692 1
Te3 0.242 0.023 0.308 1
Te4 0.262 0.524 0.288 1
Te5 0.219 0.977 0.692 1
Te6 0.784 0.568 0.309 1
Te7 0.781 0.023 0.308 1
Te8 0.738 0.476 0.712 1
K1 0.000 0.500 0.000 1
K2 0.000 0.000 0.000 1
K3 0.500 0.500 0.000 1
Pu1 0.000 0.500 0.500 1
Pu2 0.500 0.500 0.500 1
Pu3 0.500 0.000 0.500 1
# Energy relative to the elements, uncorrected in eV per formula unit: -12.828
# DOS at the Fermi energy in states/eV per cell: 39.89
# Total magnetic moment in μB per formula unit: 1.28

***

# 11
# K2RbMn, relaxed, DFT PBE
data_K2RbMn
_chemical_formula_sum 'K2 Rb1 Mn1'
_symmetry_space_group_name_H-M 'P 1'
_symmetry_Int_Tables_number 1
_symmetry_space_group_name_Hall 'P 1'
_cell_length_a 6.661
_cell_length_b 6.661
_cell_length_c 6.661
_cell_angle_alpha 60.00
_cell_angle_beta 60.00
_cell_angle_gamma 60.00
loop_
_atom_site_label
_atom_site_fract_x
_atom_site_fract_y
_atom_site_fract_z
_atom_site_occupancy
K1 0.750 0.750 0.750 1
K2 0.250 0.250 0.250 1
Mn1 0.000 0.000 0.000 1
Rb1 0.500 0.500 0.500 1
# E_form in kJ/mol of atoms: 63.0
# DOS at the Fermi energy in states/eV per cell: 4.97
# Total magnetic moment in μB per formula unit: 4.44
# Distance to the lowest polymorph of the same formula in meV/atom: 0

***

# 12
# K3RbMn, relaxed, DFT PBE
data_K3RbMn
_chemical_formula_sum 'K3 Rb1 Mn1'
_symmetry_space_group_name_H-M 'P 1'
_symmetry_Int_Tables_number 1
_symmetry_space_group_name_Hall 'P 1'
_cell_length_a 7.010
_cell_length_b 7.010
_cell_length_c 7.010
_cell_angle_alpha 90.00
_cell_angle_beta 90.00
_cell_angle_gamma 90.00
loop_
_atom_site_label
_atom_site_fract_x
_atom_site_fract_y
_atom_site_fract_z
_atom_site_occupancy
K1 0.000 0.500 0.000 1
K2 0.500 0.000 0.000 1
K3 0.000 0.000 0.500 1
Rb1 0.500 0.500 0.500 1
Mn1 0.000 0.000 0.000 1
# E_form in kJ/mol of atoms: 53.9
# DOS at the Fermi energy in states/eV per cell: 8.99
# Total magnetic moment in μB per formula unit: 4.50